Cd2ReRh | meta-GGA SCAN | PBEsol geometry

- Spin magnetization: 0.00 μB/f.u.
- E_form: 448 meV per atom
- Energy relative to the lowest polymorph listed for this composition: 378 meV/atom
- Energy: -40.98 eV per atom
- Theoretical density: 13.14 Mg/m³

abc: 2.754 2.754 8.564
angles: 90.00 90.00 90.00
Space group P4/mmm (No. 123)
Inequivalent atoms, fractional coordinates:
Cd 0.000 0.000 0.238 (multiplicity 2)
Re 0.500 0.500 0.500 (multiplicity 1)
Rh 0.500 0.500 0.000 (multiplicity 1)

=====

CdReRh2 | meta-GGA SCAN | PBEsol geometry

- Spin magnetization: 0.00 μB/f.u.
- E_form: -165 meV per atom
- Energy: -42.43 eV per atom
- Theoretical density: 14.08 Mg/m³

abc: 2.782 2.782 7.686
angles: 90.00 90.00 90.00
Space group P4/mmm (No. 123)
Inequivalent atoms, fractional coordinates:
Cd 0.000 0.000 0.000 (multiplicity 1)
Re 0.000 0.000 0.500 (multiplicity 1)
Rh 0.500 0.500 0.271 (multiplicity 2)

=====

CdReRh2 | meta-GGA SCAN | PBEsol geometry

- Spin magnetization: 0.00 μB/f.u.
- E_form: 292 meV per atom
- Energy: -41.97 eV per atom
- Theoretical density: 14.17 Mg/m³

abc: 3.795 3.795 8.207
angles: 90.00 90.00 90.00
Space group I-4m2 (No. 119)
Inequivalent atoms, fractional coordinates:
Cd 0.000 0.000 0.000 (multiplicity 2)
Re 0.000 0.500 0.250 (multiplicity 2)
Rh 0.000 0.000 0.500 (multiplicity 2)
Rh 0.000 0.500 0.750 (multiplicity 2)

=====

CdRe2RuRh | meta-GGA SCAN | PBEsol geometry

- Spin magnetization: 0.91 μB/f.u.
- E_form: 3303 meV per atom
- Energy: -44.94 eV per atom
- Theoretical density: 11.38 Mg/m³

abc: 4.675 4.675 4.598
angles: 90.00 90.00 90.00
Space group P4/mmm (No. 123)
Inequivalent atoms, fractional coordinates:
Cd 0.000 0.000 0.000 (multiplicity 1)
Re 0.000 0.500 0.000 (multiplicity 2)
Ru 0.000 0.000 0.500 (multiplicity 1)
Rh 0.500 0.500 0.500 (multiplicity 1)

=====

Cd2ReRu | meta-GGA SCAN | PBEsol geometry

- Spin magnetization: 0.00 μB/f.u.
- E_form: 532 meV per atom
- Energy relative to the lowest polymorph listed for this composition: 0 meV/atom
- Energy: -41.16 eV per atom
- Theoretical density: 12.62 Mg/m³

abc: 2.841 4.824 9.833
angles: 90.00 90.00 90.00
Space group Imm2 (No. 44)
Inequivalent atoms, fractional coordinates:
Cd 0.000 0.000 0.000 (multiplicity 2)
Cd 0.000 0.500 0.222 (multiplicity 2)
Re 0.000 0.500 0.762 (multiplicity 2)
Ru 0.000 0.000 0.468 (multiplicity 2)

=====

CdRe3Ru | meta-GGA SCAN | PBEsol geometry

- Spin magnetization: 1.35 μB/f.u.
- E_form: 3624 meV per atom
- Energy: -52.08 eV per atom
- Theoretical density: 12.85 Mg/m³

abc: 4.638 4.638 4.638
angles: 90.00 90.00 90.00
Space group Pm-3m (No. 221)
Inequivalent atoms, fractional coordinates:
Cd 0.000 0.000 0.000 (multiplicity 1)
Re 0.000 0.000 0.500 (multiplicity 3)
Ru 0.500 0.500 0.500 (multiplicity 1)

=====

Cd2ReRu | meta-GGA SCAN | PBEsol geometry

- Spin magnetization: 0.01 μB/f.u.
- E_form: 631 meV per atom
- Energy relative to the lowest polymorph listed for this composition: 99 meV/atom
- Energy: -41.06 eV per atom
- Theoretical density: 13.20 Mg/m³

abc: 4.231 4.231 7.196
angles: 90.00 90.00 90.00
Space group I-4m2 (No. 119)
Inequivalent atoms, fractional coordinates:
Cd 0.000 0.000 0.000 (multiplicity 2)
Cd 0.000 0.500 0.250 (multiplicity 2)
Re 0.000 0.500 0.750 (multiplicity 2)
Ru 0.000 0.000 0.500 (multiplicity 2)

=====

CdRe2Ru | meta-GGA SCAN | PBEsol geometry

- Spin magnetization: 0.00 μB/f.u.
- E_form: 561 meV per atom
- Energy: -51.30 eV per atom
- Theoretical density: 16.14 Mg/m³

abc: 3.763 3.763 8.516
angles: 90.00 90.00 90.00
Space group I4/mmm (No. 139)
Inequivalent atoms, fractional coordinates:
Cd 0.000 0.000 0.000 (multiplicity 2)
Re 0.000 0.500 0.250 (multiplicity 4)
Ru 0.000 0.000 0.500 (multiplicity 2)

=====

Table of calculated volume (Å³ per cell), in record order: 65; 60; 118; 100; 135; 100; 129; 121